PuCdPd3 | Alexandria via LeMat-Bulk | PBE | optimized geometry; energy = -65.29 eV/cell; total magnetization = 5.276 μB/f.u.; ΔE_f = -1.822 eV per formula unit
1.0
4.547 0.000 0.000
2.274 4.920 0.308
2.274 1.243 8.895
Pu Cd Pd
2 2 6
Direct
0.410 0.790 0.390 Pu
0.590 0.210 0.610 Pu
0.090 0.726 0.093 Cd
0.910 0.274 0.907 Cd
0.880 0.620 0.621 Pd
0.120 0.380 0.379 Pd
0.631 0.842 0.896 Pd
0.369 0.158 0.104 Pd
0.768 0.202 0.262 Pd
0.232 0.798 0.738 Pd

***

EuPaPt4 | Alexandria via LeMat-Bulk | PBE | optimized geometry; energy = -49.31 eV/cell; total magnetization = 7.537 μB/f.u.; ΔE_f = -5.377 eV per formula unit
1.0
5.465 0.000 0.000
2.732 4.733 0.000
2.732 1.578 4.462
Eu Pa Pt
1 1 4
Direct
0.250 0.250 0.250 Eu
0.000 0.000 0.000 Pa
0.625 0.625 0.125 Pt
0.625 0.125 0.625 Pt
0.625 0.625 0.625 Pt
0.125 0.625 0.625 Pt